# Ba2BeMo, optimized geometry, DFT PBE
# Electronic total energy in eV/atom: -3.426
# DOS(E_F) in states/eV/cell: 3.664
# SG: I-4m2, No. 119
# ΔE_f in eV/atom: 1.1752
data_Ba2BeMo
_cell_length_a 5.450
_cell_length_b 5.450
_cell_length_c 5.450
_cell_angle_alpha 119.82
_cell_angle_beta 119.82
_cell_angle_gamma 90.32
_symmetry_space_group_name_H-M 'P 1'
_symmetry_Int_Tables_number 1
loop_
_symmetry_equiv_pos_as_xyz
'x,y,z'
loop_
_atom_site_label
_atom_site_fract_x
_atom_site_fract_y
_atom_site_fract_z
Ba1 0.000 0.000 0.000
Ba2 0.750 0.250 0.500
Be1 0.500 0.500 0.000
Mo1 0.250 0.750 0.500